1.
The following is a PBE calculation of SiWBr2 after structural relaxation, from Alexandria via LeMat-Bulk.

Results
Formation energy from raw total energies ... 0.1753 eV per atom
Space group ... No. 8
Energy relative to the lowest polymorph listed for this composition ... 0.044 eV/atom
Crystal system ... monoclinic
Total energy ... -42.0 eV per cell

Structure (CIF):
```
data_SiWBr2
_chemical_formula_sum 'Si2 W2 Br4'
_symmetry_space_group_name_H-M 'P 1'
_symmetry_Int_Tables_number 1
_cell_length_a 8.664
_cell_length_b 3.351
_cell_length_c 7.827
_cell_angle_alpha 90.00
_cell_angle_beta 107.71
_cell_angle_gamma 90.00
loop_
_symmetry_equiv_pos_as_xyz
'x,y,z'
loop_
_atom_site_label
_atom_site_type_symbol
_atom_site_fract_x
_atom_site_fract_y
_atom_site_fract_z
Si1 Si 0.000 0.000 0.000
Si2 Si 0.500 0.500 0.000
W1 W 0.287 0.000 0.000
W2 W 0.787 0.500 0.000
Br1 Br 0.195 0.500 0.723
Br2 Br 0.347 0.500 0.277
Br3 Br 0.695 0.000 0.723
Br4 Br 0.847 0.000 0.277
```



2.
The following is a PBE calculation of CaNdY after structural relaxation, from Alexandria via LeMat-Bulk.

Results
Space group ... No. 107
Energy relative to the lowest polymorph listed for this composition ... 0.013 eV/atom
Crystal system ... tetragonal
Energy relative to the elements ... 0.045 eV per atom
Total energy ... -26.2 eV per cell

Structure (CIF):
```
data_CaNdY
_chemical_formula_sum 'Ca2 Nd2 Y2'
_symmetry_space_group_name_H-M 'P 1'
_symmetry_Int_Tables_number 1
_cell_length_a 3.698
_cell_length_b 3.698
_cell_length_c 15.773
_cell_angle_alpha 90.00
_cell_angle_beta 90.00
_cell_angle_gamma 90.00
loop_
_symmetry_equiv_pos_as_xyz
'x,y,z'
loop_
_atom_site_label
_atom_site_type_symbol
_atom_site_fract_x
_atom_site_fract_y
_atom_site_fract_z
Ca1 Ca 0.000 0.000 0.000
Ca2 Ca 0.500 0.500 0.500
Nd1 Nd 0.000 0.000 0.677
Nd2 Nd 0.500 0.500 0.177
Y1 Y 0.000 0.000 0.327
Y2 Y 0.500 0.500 0.827
```



3.
The following is a PBE calculation of YTiCu after structural relaxation, from Alexandria via LeMat-Bulk.

Results
Space group ... No. 6
Energy relative to the lowest polymorph listed for this composition ... 0.101 eV/atom
Crystal system ... monoclinic
Energy relative to the elements ... 0.067 eV per atom
Total energy ... -36.5 eV per cell

Structure (CIF):
```
data_YTiCu
_chemical_formula_sum 'Y2 Ti2 Cu2'
_symmetry_space_group_name_H-M 'P 1'
_symmetry_Int_Tables_number 1
_cell_length_a 4.937
_cell_length_b 4.730
_cell_length_c 5.645
_cell_angle_alpha 90.00
_cell_angle_beta 115.64
_cell_angle_gamma 90.00
loop_
_symmetry_equiv_pos_as_xyz
'x,y,z'
loop_
_atom_site_label
_atom_site_type_symbol
_atom_site_fract_x
_atom_site_fract_y
_atom_site_fract_z
Y1 Y 0.000 0.000 0.000
Y2 Y 0.442 0.500 0.002
Ti1 Ti 0.073 0.500 0.416
Ti2 Ti 0.658 0.500 0.587
Cu1 Cu 0.353 0.000 0.609
Cu2 Cu 0.745 0.000 0.392
```



4.
The following is a PBE calculation of LaScH8Ir2 after structural relaxation, from Alexandria via LeMat-Bulk.

Results
Space group ... No. 148
Crystal system ... trigonal
Total energy ... -59.3 eV per cell

Structure (CIF):
```
data_LaScH8Ir2
_chemical_formula_sum 'La1 Sc1 H8 Ir2'
_symmetry_space_group_name_H-M 'P 1'
_symmetry_Int_Tables_number 1
_cell_length_a 6.703
_cell_length_b 6.703
_cell_length_c 6.703
_cell_angle_alpha 41.73
_cell_angle_beta 41.73
_cell_angle_gamma 41.73
loop_
_symmetry_equiv_pos_as_xyz
'x,y,z'
loop_
_atom_site_label
_atom_site_type_symbol
_atom_site_fract_x
_atom_site_fract_y
_atom_site_fract_z
La1 La 0.000 0.000 0.000
Sc1 Sc 0.500 0.500 0.500
H1 H 0.099 0.815 0.399
H2 H 0.185 0.601 0.901
H3 H 0.317 0.317 0.317
H4 H 0.399 0.099 0.815
H5 H 0.601 0.901 0.185
H6 H 0.683 0.683 0.683
H7 H 0.815 0.399 0.099
H8 H 0.901 0.185 0.601
Ir1 Ir 0.229 0.229 0.229
Ir2 Ir 0.771 0.771 0.771
```



5.
The following is a PBE calculation of CeZnRuRh after structural relaxation, from Alexandria via LeMat-Bulk.

Results
Space group ... No. 216
Energy relative to the lowest polymorph listed for this composition ... 0.085 eV/atom
Crystal system ... cubic
Energy relative to the elements ... -0.420 eV per atom
Total energy ... -102.1 eV per cell

Structure (CIF):
```
data_CeZnRuRh
_chemical_formula_sum 'Ce4 Zn4 Ru4 Rh4'
_symmetry_space_group_name_H-M 'P 1'
_symmetry_Int_Tables_number 1
_cell_length_a 6.497
_cell_length_b 6.497
_cell_length_c 6.497
_cell_angle_alpha 90.00
_cell_angle_beta 90.00
_cell_angle_gamma 90.00
loop_
_symmetry_equiv_pos_as_xyz
'x,y,z'
loop_
_atom_site_label
_atom_site_type_symbol
_atom_site_fract_x
_atom_site_fract_y
_atom_site_fract_z
Ce1 Ce 0.000 0.000 0.000
Ce2 Ce 0.000 0.500 0.500
Ce3 Ce 0.500 0.000 0.500
Ce4 Ce 0.500 0.500 0.000
Zn1 Zn 0.000 0.000 0.500
Zn2 Zn 0.000 0.500 0.000
Zn3 Zn 0.500 0.000 0.000
Zn4 Zn 0.500 0.500 0.500
Ru1 Ru 0.250 0.250 0.750
Ru2 Ru 0.250 0.750 0.250
Ru3 Ru 0.750 0.250 0.250
Ru4 Ru 0.750 0.750 0.750
Rh1 Rh 0.250 0.250 0.250
Rh2 Rh 0.250 0.750 0.750
Rh3 Rh 0.750 0.250 0.750
Rh4 Rh 0.750 0.750 0.250
```



6.
The following is a PBE calculation of KMgSn after structural relaxation, from Alexandria via LeMat-Bulk.

Results
Space group ... No. 129
Energy relative to the lowest polymorph listed for this composition ... 0.000 eV/atom
Crystal system ... tetragonal
Energy relative to the elements ... -0.201 eV per atom
Total energy ... -14.6 eV per cell

Structure (CIF):
```
data_KMgSn
_chemical_formula_sum 'K2 Mg2 Sn2'
_symmetry_space_group_name_H-M 'P 1'
_symmetry_Int_Tables_number 1
_cell_length_a 4.886
_cell_length_b 4.886
_cell_length_c 8.486
_cell_angle_alpha 90.00
_cell_angle_beta 90.00
_cell_angle_gamma 90.00
loop_
_symmetry_equiv_pos_as_xyz
'x,y,z'
loop_
_atom_site_label
_atom_site_type_symbol
_atom_site_fract_x
_atom_site_fract_y
_atom_site_fract_z
K1 K 0.250 0.250 0.150
K2 K 0.750 0.750 0.850
Mg1 Mg 0.250 0.750 0.500
Mg2 Mg 0.750 0.250 0.500
Sn1 Sn 0.250 0.250 0.701
Sn2 Sn 0.750 0.750 0.299
```



7.
The following is a PBE calculation of NaTiAg2F6 after structural relaxation, from Alexandria via LeMat-Bulk.

Results
Formation energy from raw total energies ... -2.2972 eV per atom
Space group ... No. 14
Crystal system ... monoclinic
Total energy ... -98.2 eV per cell

Structure (CIF):
```
data_NaTiAg2F6
_chemical_formula_sum 'Na2 Ti2 Ag4 F12'
_symmetry_space_group_name_H-M 'P 1'
_symmetry_Int_Tables_number 1
_cell_length_a 5.944
_cell_length_b 5.946
_cell_length_c 10.114
_cell_angle_alpha 90.00
_cell_angle_beta 125.80
_cell_angle_gamma 90.00
loop_
_symmetry_equiv_pos_as_xyz
'x,y,z'
loop_
_atom_site_label
_atom_site_type_symbol
_atom_site_fract_x
_atom_site_fract_y
_atom_site_fract_z
Na1 Na 0.000 0.000 0.000
Na2 Na 0.000 0.500 0.500
Ti1 Ti 0.500 0.000 0.500
Ti2 Ti 0.500 0.500 0.000
Ag1 Ag 0.234 0.015 0.750
Ag2 Ag 0.234 0.485 0.250
Ag3 Ag 0.766 0.515 0.750
Ag4 Ag 0.766 0.985 0.250
F1 F 0.207 0.218 0.448
F2 F 0.207 0.282 0.948
F3 F 0.231 0.744 0.944
F4 F 0.231 0.756 0.444
F5 F 0.377 0.009 0.276
F6 F 0.377 0.491 0.776
F7 F 0.623 0.509 0.224
F8 F 0.623 0.991 0.724
F9 F 0.769 0.244 0.556
F10 F 0.769 0.256 0.056
F11 F 0.793 0.718 0.052
F12 F 0.793 0.782 0.552
```



8.
The following is a PBE calculation of FeSi2Os after structural relaxation, from Alexandria via LeMat-Bulk.

Results
Formation energy from raw total energies ... -0.3703 eV per atom
Space group ... No. 123
Crystal system ... tetragonal
Total energy ... -32.0 eV per cell

Structure (CIF):
```
data_FeSi2Os
_chemical_formula_sum 'Fe1 Si2 Os1'
_symmetry_space_group_name_H-M 'P 1'
_symmetry_Int_Tables_number 1
_cell_length_a 2.884
_cell_length_b 2.884
_cell_length_c 5.706
_cell_angle_alpha 90.00
_cell_angle_beta 90.00
_cell_angle_gamma 90.00
loop_
_symmetry_equiv_pos_as_xyz
'x,y,z'
loop_
_atom_site_label
_atom_site_type_symbol
_atom_site_fract_x
_atom_site_fract_y
_atom_site_fract_z
Fe1 Fe 0.000 0.000 0.000
Si1 Si 0.500 0.500 0.236
Si2 Si 0.500 0.500 0.764
Os1 Os 0.000 0.000 0.500
```



9.
The following is a PBE calculation of Li2ZrTaN4 after structural relaxation, from Alexandria via LeMat-Bulk.

Results
Formation energy from raw total energies ... -0.9368 eV per atom
Space group ... No. 74
Crystal system ... orthorhombic
Total energy ... -130.0 eV per cell

Structure (CIF):
```
data_Li2ZrTaN4
_chemical_formula_sum 'Li4 Zr2 Ta2 N8'
_symmetry_space_group_name_H-M 'P 1'
_symmetry_Int_Tables_number 1
_cell_length_a 6.351
_cell_length_b 6.351
_cell_length_c 6.351
_cell_angle_alpha 121.02
_cell_angle_beta 119.14
_cell_angle_gamma 89.87
loop_
_symmetry_equiv_pos_as_xyz
'x,y,z'
loop_
_atom_site_label
_atom_site_type_symbol
_atom_site_fract_x
_atom_site_fract_y
_atom_site_fract_z
Li1 Li 0.000 0.000 0.000
Li2 Li 0.500 0.000 0.000
Li3 Li 0.500 0.000 0.500
Li4 Li 0.500 0.500 0.500
Zr1 Zr 0.000 0.500 0.500
Zr2 Zr 0.500 0.500 0.000
Ta1 Ta 0.000 0.000 0.500
Ta2 Ta 0.000 0.500 0.000
N1 N 0.217 0.745 0.472
N2 N 0.227 0.255 0.972
N3 N 0.234 0.245 0.511
N4 N 0.234 0.722 0.989
N5 N 0.766 0.278 0.011
N6 N 0.766 0.755 0.489
N7 N 0.773 0.745 0.028
N8 N 0.783 0.255 0.528
```



10.
The following is a PBE calculation of BPd6Pb2 after structural relaxation, from Alexandria via LeMat-Bulk.

Results
Space group ... No. 186
Crystal system ... hexagonal
Energy relative to the elements ... -0.268 eV per atom
Total energy ... -95.3 eV per cell

Structure (CIF):
```
data_BPd6Pb2
_chemical_formula_sum 'B2 Pd12 Pb4'
_symmetry_space_group_name_H-M 'P 1'
_symmetry_Int_Tables_number 1
_cell_length_a 5.966
_cell_length_b 5.966
_cell_length_c 9.713
_cell_angle_alpha 90.00
_cell_angle_beta 90.00
_cell_angle_gamma 120.00
loop_
_symmetry_equiv_pos_as_xyz
'x,y,z'
loop_
_atom_site_label
_atom_site_type_symbol
_atom_site_fract_x
_atom_site_fract_y
_atom_site_fract_z
B1 B 0.333 0.667 0.000
B2 B 0.667 0.333 0.500
Pd1 Pd 0.004 0.502 0.376
Pd2 Pd 0.169 0.338 0.129
Pd3 Pd 0.169 0.831 0.129
Pd4 Pd 0.338 0.169 0.629
Pd5 Pd 0.498 0.502 0.376
Pd6 Pd 0.498 0.996 0.376
Pd7 Pd 0.502 0.004 0.876
Pd8 Pd 0.502 0.498 0.876
Pd9 Pd 0.662 0.831 0.129
Pd10 Pd 0.831 0.169 0.629
Pd11 Pd 0.831 0.662 0.629
Pd12 Pd 0.996 0.498 0.876
Pb1 Pb 0.000 0.000 0.380
Pb2 Pb 0.000 0.000 0.880
Pb3 Pb 0.333 0.667 0.627
Pb4 Pb 0.667 0.333 0.127
```